(1)
Compound: Pr3NdPu2Te6
Source: Alexandria
Functional: PBE
Structure: optimized geometry

Computed properties:
calculated total energy: -0.2532 hartree per atom
formation energy (no corrections): -1.337 eV per atom
magnetization: 11.9 μB/f.u.
Fermi-level density of states: 24.84 states/eV/f.u.

Cell lengths 4.4770, 9.0182, 10.0581 Å; angles 103.20, 102.86, 90.00 degrees
With the nearest neighbours (Å) after each atom.
Sites, in units of the cell vectors:
Pr: 0.5000 0.5000 0.0000  6 Te 3.19-3.22
Pr: 0.8352 0.1663 0.6703  6 Te 3.19-3.22
Pr: 0.1648 0.8337 0.3297  6 Te 3.19-3.22
Nd: 0.5000 0.0000 0.0000  6 Te 3.17-3.18
Pu: 0.8334 0.6665 0.6668  6 Te 3.13-3.14
Pu: 0.1666 0.3335 0.3332  6 Te 3.13-3.14
Te: 0.3331 0.9102 0.6662  2 Pu 3.14, 1 Nd 3.18, 3 Pr 3.21
Te: 0.6687 0.5790 0.3373  3 Pu 3.14, 3 Pr 3.22
Te: 0.6669 0.0898 0.3338  2 Pu 3.14, 1 Nd 3.18, 3 Pr 3.21
Te: 0.0027 0.2500 0.0053  1 Pu 3.13, 2 Nd 3.17, 3 Pr 3.19
Te: 0.9973 0.7500 0.9947  1 Pu 3.13, 2 Nd 3.17, 3 Pr 3.19
Te: 0.3313 0.4210 0.6627  3 Pu 3.14, 3 Pr 3.22


(2)
Compound: Pr2TcC2
Source: Alexandria
Functional: PBE
Structure: optimized geometry

Computed properties:
calculated total energy: -0.2896 hartree per atom
excess energy over the best structure of this formula in the dataset: 0.0 meV/atom
magnetization: 0.0 μB/f.u.
formation energy: -0.21 eV/atom
Fermi-level density of states: 2.04 states/eV/f.u.

Cell lengths 5.3979, 6.7302, 10.3328 Å; angles 90.00, 90.00, 90.00 degrees
With the nearest neighbours (Å) after each atom.
Sites, in units of the cell vectors:
Pr: 0.7500 0.6872 0.5511  5 C 2.60-2.72
Pr: 0.2500 0.8128 0.0511  5 C 2.60-2.72
Pr: 0.2500 0.3128 0.4489  5 C 2.60-2.72
Pr: 0.7500 0.1872 0.9489  5 C 2.60-2.72
Pr: 0.7500 0.0270 0.2874  3 C 2.65-2.72
Pr: 0.2500 0.4730 0.7874  3 C 2.65-2.72
Pr: 0.2500 0.9730 0.7126  3 C 2.65-2.72
Pr: 0.7500 0.5270 0.2126  3 C 2.65-2.72
Tc: 0.7500 0.2282 0.6436  3 C 1.91-2.05
Tc: 0.2500 0.2718 0.1436  3 C 1.91-2.05
Tc: 0.2500 0.7718 0.3564  3 C 1.91-2.05
Tc: 0.7500 0.7282 0.8564  3 C 1.91-2.05
C: 0.7500 0.4641 0.7572  2 Tc 1.97-2.05
C: 0.2500 0.0359 0.2572  2 Tc 1.97-2.05
C: 0.2500 0.5359 0.2428  2 Tc 1.97-2.05
C: 0.7500 0.9641 0.7428  2 Tc 1.97-2.05
C: 0.7500 0.8088 0.0334  1 Tc 1.91
C: 0.2500 0.6912 0.5334  1 Tc 1.91
C: 0.2500 0.1912 0.9666  1 Tc 1.91
C: 0.7500 0.3088 0.4666  1 Tc 1.91


(3)
Compound: Mn2CrIrN
Source: Alexandria
Functional: PBE
Structure: optimized geometry

Computed properties:
calculated total energy: -0.3395 hartree per atom
formation energy (no corrections): -0.208 eV per atom
magnetization: 0.0 μB/f.u.
Fermi-level density of states: 6.75 states/eV/f.u.

Cell lengths 3.7587, 3.7587, 3.8265 Å; angles 90.00, 90.00, 90.00 degrees
With the nearest neighbours (Å) after each atom.
Sites, in units of the cell vectors:
Cr: 0.0000 0.0000 0.5000  2 N 1.91
Ir: 0.5000 0.5000 0.5000  4 Cr 2.66, 8 Mn 2.68
Mn: 0.0000 0.5000 0.0000  2 N 1.88
Mn: 0.5000 0.0000 0.0000  2 N 1.88
N: 0.0000 0.0000 0.0000  4 Mn 1.88, 2 Cr 1.91


(4)
Compound: PrGa4Au6
Source: Alexandria
Functional: PBE
Structure: optimized geometry

Computed properties:
calculated total energy: -0.1368 hartree per atom
magnetization: 0.0 μB/f.u.
formation energy: -0.40 eV/atom
Fermi-level density of states: 2.90 states/eV/f.u.

Cell lengths 4.3181, 7.5019, 7.5019 Å; angles 120.00, 90.00, 90.00 degrees
With the nearest neighbours (Å) after each atom.
Sites, in units of the cell vectors:
Pr: 0.0000 0.3333 0.6667  6 Au 3.34, 6 Ga 3.36
Ga: 0.5000 0.5332 0.4699  6 Au 2.56-2.77
Ga: 0.5000 0.9366 0.4668  6 Au 2.56-2.77
Ga: 0.0000 0.0000 0.0000  9 Au 2.63-2.80
Ga: 0.5000 0.5301 0.0634  6 Au 2.56-2.77
Au: 0.5000 0.1363 0.8618  4 Ga 2.56-2.80
Au: 0.5000 0.1382 0.2746  4 Ga 2.56-2.80
Au: 0.0000 0.8001 0.5950  5 Ga 2.63-2.77, 2 Au 2.94
Au: 0.0000 0.4050 0.2051  5 Ga 2.63-2.77, 2 Au 2.94
Au: 0.0000 0.7949 0.1999  5 Ga 2.63-2.77, 2 Au 2.94
Au: 0.5000 0.7254 0.8637  4 Ga 2.56-2.80


(5)
Compound: Ba4AlHg
Source: Alexandria
Functional: PBE
Structure: optimized geometry

Computed properties:
calculated total energy: -0.0766 hartree per atom
excess energy over the best structure of this formula in the dataset: 96.6 meV/atom
magnetization: 0.0 μB/f.u.
formation energy: -0.13 eV/atom
Fermi-level density of states: 8.28 states/eV/f.u.

Cell lengths 5.9065, 5.9089, 10.2285 Å; angles 73.24, 73.22, 60.01 degrees
With the nearest neighbours (Å) after each atom.
Sites, in units of the cell vectors:
Ba: 0.6229 0.6229 0.1313  1 Al 3.56, 3 Hg 3.64
Ba: 0.3771 0.3771 0.8687  1 Al 3.56, 3 Hg 3.64
Ba: 0.1272 0.1276 0.6179  3 Al 3.59-3.60, 1 Hg 3.69
Ba: 0.8728 0.8724 0.3821  3 Al 3.59-3.60, 1 Hg 3.69
Al: 0.5000 0.5000 0.5000  8 Ba 3.56-3.60
Hg: 0.0000 0.0000 0.0000  8 Ba 3.64-3.69


(6)
Compound: ScAlIn2
Source: Alexandria
Functional: PBE
Structure: optimized geometry

Computed properties:
calculated total energy: -0.1523 hartree per atom
magnetization: 0.0 μB/f.u.
formation energy: -0.26 eV/atom
Fermi-level density of states: 2.47 states/eV/f.u.

Cell lengths 5.5824, 5.5824, 5.5824 Å; angles 135.05, 135.03, 65.47 degrees
With the nearest neighbours (Å) after each atom.
Sites, in units of the cell vectors:
Sc: 0.7500 0.2500 0.5000  4 Al 3.02, 8 In 3.17
Al: 0.2500 0.7500 0.5000  4 Sc 3.02, 8 In 3.17
In: 0.0000 0.0000 0.0000  4 In 3.02, 4 Al 3.17, 4 Sc 3.17
In: 0.5000 0.5000 0.0000  4 In 3.02, 4 Al 3.17, 4 Sc 3.17


(7)
Compound: HfSnI3
Source: Alexandria
Functional: PBE
Structure: optimized geometry

Computed properties:
calculated total energy: -0.1126 hartree per atom
excess energy over the best structure of this formula in the dataset: 596.4 meV/atom
formation energy (no corrections): 0.658 eV per atom
magnetization: 1.0 μB/f.u.
Fermi-level density of states: 7.77 states/eV/f.u.

Cell lengths 6.0987, 6.0987, 6.0987 Å; angles 90.00, 90.00, 90.00 degrees
With the nearest neighbours (Å) after each atom.
Sites, in units of the cell vectors:
I: 0.0000 0.5000 0.0000  2 Sn 3.05
I: 0.0000 0.0000 0.5000  2 Sn 3.05
I: 0.5000 0.0000 0.0000  2 Sn 3.05
Hf: 0.5000 0.5000 0.5000  12 I 4.31
Sn: 0.0000 0.0000 0.0000  6 I 3.05


(8)
Compound: KZrAlS2
Source: Alexandria
Functional: PBE
Structure: optimized geometry

Computed properties:
calculated total energy: -0.1515 hartree per atom
formation energy (no corrections): 0.207 eV per atom
magnetization: 1.8 μB/f.u.
Fermi-level density of states: 3.63 states/eV/f.u.

Cell lengths 4.9711, 5.1279, 4.9711 Å; angles 90.00, 90.00, 90.00 degrees
With the nearest neighbours (Å) after each atom.
Sites, in units of the cell vectors:
K: 0.5000 0.5000 0.5000  4 Zr 3.52, 8 S 3.57
S: 0.0000 0.0000 0.5000  2 Al 2.49
S: 0.5000 0.0000 0.0000  2 Al 2.49
Zr: 0.0000 0.5000 0.0000  2 Al 2.56
Al: 0.0000 0.0000 0.0000  4 S 2.49, 2 Zr 2.56


(9)
Compound: TlTc2Cl8
Source: Alexandria
Functional: PBE
Structure: optimized geometry

Computed properties:
calculated total energy: -0.1446 hartree per atom
excess energy over the best structure of this formula in the dataset: 118.7 meV/atom
formation energy (no corrections): -0.491 eV per atom
magnetization: 1.1 μB/f.u.
Fermi-level density of states: 12.35 states/eV/f.u.

Cell lengths 8.0809, 7.6631, 7.6631 Å; angles 57.37, 74.52, 74.52 degrees
With the nearest neighbours (Å) after each atom.
Sites, in units of the cell vectors:
Tl: 0.0000 0.0000 0.0000  6 Cl 3.31-3.39
Tc: 0.6845 0.7951 0.7951  4 Cl 2.23-2.24
Tc: 0.3155 0.2049 0.2049  4 Cl 2.23-2.24
Cl: 0.2310 0.3540 0.8919  1 Tc 2.24
Cl: 0.7690 0.1081 0.6460  1 Tc 2.24
Cl: 0.3978 0.8194 0.8194  1 Tc 2.24
Cl: 0.6022 0.1806 0.1806  1 Tc 2.24
Cl: 0.2310 0.8919 0.3540  1 Tc 2.24
Cl: 0.7690 0.6460 0.1081  1 Tc 2.24
Cl: 0.8302 0.6250 0.6250  1 Tc 2.23
Cl: 0.1698 0.3750 0.3750  1 Tc 2.23


(10)
Compound: VFeP2Cl
Source: Alexandria
Functional: PBE
Structure: optimized geometry

Computed properties:
calculated total energy: -0.1968 hartree per atom
excess energy over the best structure of this formula in the dataset: 160.1 meV/atom
formation energy (no corrections): 0.694 eV per atom
magnetization: 1.1 μB/f.u.
Fermi-level density of states: 5.23 states/eV/f.u.

Cell lengths 4.2611, 4.2611, 4.8325 Å; angles 90.00, 90.00, 90.00 degrees
With the nearest neighbours (Å) after each atom.
Sites, in units of the cell vectors:
P: 0.0000 0.5000 0.0000  2 Fe 2.13
P: 0.5000 0.0000 0.0000  2 Fe 2.13
Cl: 0.0000 0.0000 0.5000  2 Fe 2.42
Fe: 0.0000 0.0000 0.0000  4 P 2.13
V: 0.5000 0.5000 0.5000  4 Cl 3.01, 8 P 3.22


(11)
Compound: CoNi2Cl
Source: Alexandria
Functional: PBE
Structure: optimized geometry

Computed properties:
calculated total energy: -0.1642 hartree per atom
excess energy over the best structure of this formula in the dataset: 445.4 meV/atom
formation energy (no corrections): 0.661 eV per atom
magnetization: 3.2 μB/f.u.
Fermi-level density of states: 5.12 states/eV/f.u.

Cell lengths 4.5479, 4.5479, 4.5479 Å; angles 132.29, 132.29, 69.78 degrees
With the nearest neighbours (Å) after each atom.
Sites, in units of the cell vectors:
Ni: 0.0000 0.0000 0.0000  4 Ni 2.60, 4 Cl 2.62, 4 Co 2.62
Ni: 0.5000 0.5000 0.0000  4 Ni 2.60, 4 Co 2.62, 4 Cl 2.62
Co: 0.7500 0.2500 0.5000  4 Cl 2.60, 8 Ni 2.62
Cl: 0.2500 0.7500 0.5000  4 Co 2.60, 8 Ni 2.62


(12)
Compound: MoBr6
Source: Alexandria
Functional: PBE
Structure: optimized geometry

Computed properties:
calculated total energy: -0.1235 hartree per atom
formation energy (no corrections): -0.381 eV per atom
magnetization: 0.0 μB/f.u.

Cell lengths 5.8985, 6.7748, 6.7748 Å; angles 120.00, 90.00, 90.00 degrees
With the nearest neighbours (Å) after each atom.
Sites, in units of the cell vectors:
Mo: 0.0000 0.0000 0.0000  6 Br 2.48
Br: 0.2434 0.0000 0.7008  1 Mo 2.48
Br: 0.7566 0.0000 0.2992  1 Mo 2.48
Br: 0.7566 0.7008 0.7008  1 Mo 2.48
Br: 0.2434 0.7008 0.0000  1 Mo 2.48
Br: 0.7566 0.2992 0.0000  1 Mo 2.48
Br: 0.2434 0.2992 0.2992  1 Mo 2.48


Repeat the seventh record exactly.
Compound: HfSnI3
Source: Alexandria
Functional: PBE
Structure: optimized geometry

Computed properties:
calculated total energy: -0.1126 hartree per atom
excess energy over the best structure of this formula in the dataset: 596.4 meV/atom
formation energy (no corrections): 0.658 eV per atom
magnetization: 1.0 μB/f.u.
Fermi-level density of states: 7.77 states/eV/f.u.

Cell lengths 6.0987, 6.0987, 6.0987 Å; angles 90.00, 90.00, 90.00 degrees
With the nearest neighbours (Å) after each atom.
Sites, in units of the cell vectors:
I: 0.0000 0.5000 0.0000  2 Sn 3.05
I: 0.0000 0.0000 0.5000  2 Sn 3.05
I: 0.5000 0.0000 0.0000  2 Sn 3.05
Hf: 0.5000 0.5000 0.5000  12 I 4.31
Sn: 0.0000 0.0000 0.0000  6 I 3.05


The highest magnetization belongs to which entry?
Pr3NdPu2Te6